Entry 1:
! HoTmBiAs (PBE, relaxed); values from VASP
! Crystal system: trigonal
! Formation energy from the elements (eV/f.u.): -4.20
! DOS at the Fermi energy (states/eV/f.u.): 1.3
! Space group: R3m, No. 160
&SYSTEM
  ibrav = 0, nat = 12, ntyp = 4
/
ATOMIC_SPECIES
Ho 164.93 Ho.upf
Tm 168.93 Tm.upf
Bi 208.98 Bi.upf
As 74.92 As.upf
ATOMIC_POSITIONS angstrom
Ho 0.000 0.000 0.000
Ho 0.000 2.416 14.596
Ho 2.093 1.208 7.298
Tm 0.000 0.000 4.076
Tm 0.000 2.416 18.672
Tm 2.093 1.208 11.374
Bi 0.000 0.000 16.662
Bi 0.000 2.416 9.364
Bi 2.093 1.208 2.066
As 0.000 0.000 12.919
As 0.000 2.416 5.621
As 2.093 1.208 20.217
CELL_PARAMETERS angstrom
4.185 0.000 0.000
-2.093 3.624 0.000
0.000 0.000 21.894

Entry 2:
! Bi4As2I5 (PBE, relaxed); values from VASP
! Crystal system: monoclinic
! Energy relative to the elements, uncorrected (eV/atom): -0.2059
! DOS at the Fermi energy (states/eV/f.u.): 2.5
! Space group: C2/m, No. 12
&SYSTEM
  ibrav = 0, nat = 11, ntyp = 3
/
ATOMIC_SPECIES
Bi 208.98 Bi.upf
As 74.92 As.upf
I 126.90 I.upf
ATOMIC_POSITIONS angstrom
Bi 0.387 0.000 2.732
Bi 8.809 0.000 4.233
Bi 18.790 0.000 3.117
Bi 27.212 0.000 4.619
As 11.389 0.000 3.149
As 16.211 0.000 4.202
I 3.740 0.000 0.884
I 5.057 0.000 5.223
I 14.676 0.000 0.000
I 22.542 0.000 2.127
I 23.860 0.000 6.467
CELL_PARAMETERS angstrom
14.676 -2.125 0.000
14.676 2.125 0.000
-1.752 0.000 7.351